# Hf2TlIr (GGA-PBEsol, optimized geometry)
# D(E_F): 2.86 states/eV per cell
# space group: Fm-3m
# size of the total moment: 0.000 μB/atom
# energy of formation from the pure elements: -0.228 eV/atom
data_Hf2TlIr
_symmetry_space_group_name_H-M 'P 1'
_symmetry_Int_Tables_number 1
_cell_length_a 4.761
_cell_length_b 4.761
_cell_length_c 4.761
_cell_angle_alpha 60.00
_cell_angle_beta 60.00
_cell_angle_gamma 60.00
loop_
_symmetry_equiv_pos_as_xyz
'x,y,z'
loop_
_atom_site_label
_atom_site_type_symbol
_atom_site_fract_x
_atom_site_fract_y
_atom_site_fract_z
Hf1 Hf 0.250 0.250 0.250
Hf2 Hf 0.750 0.750 0.750
Tl1 Tl 0.000 0.000 0.000
Ir1 Ir 0.500 0.500 0.500